Ag2W2O7 | GGA+U | relaxed

The structure belongs to space group P-1 (No. 2); the cell edges are 6.2225, 7.2441 and 7.7190 Å and the angles 72.16°, 86.25° and 77.60°. The asymmetric unit holds Ag at (0.2120, 0.2220, 0.2431), Ag at (0.2211, 0.8262, 0.5492), W at (0.2194, 0.7972, 0.0542), W at (0.2364, 0.2371, 0.7249), O at (0.0722, 0.7867, 0.2986), O at (0.1098, 0.1396, 0.0026), O at (0.1750, 0.4955, 0.6997), O at (0.2693, 0.5444, 0.0718), O at (0.2896, 0.9087, 0.8067), O at (0.3374, 0.2249, 0.5021) and O at (0.4788, 0.8188, 0.1570).

As for the uncorrected energy: -6.4249 eV per atom. The size of the total moment comes out at 0.00 μB per cell. The value obtained for the density of states at the Fermi level is 0.000 states/eV/f.u.